No. 1
This record from the Alexandria database describes a geometry-optimized Pr2ScBi structure. The functional is PBE-GGA.

Unit cell a=4.892 b=4.892 c=4.919 alpha=90.00 beta=90.00 gamma=90.00
Element x y z (fractional)
Pr: 0.000 0.500 0.000
Pr: 0.500 0.000 0.000
Sc: 0.000 0.000 0.500
Bi: 0.500 0.500 0.500

Results
Magnetic moment = 0.0 μB per formula unit
DFT total energy = -5.311 eV per atom
Energy relative to the lowest polymorph listed for this composition = 0.000 eV/f.u.
Formation energy from the elements = -368 meV/atom

No. 2
This record from the Alexandria database describes a geometry-optimized PrSc2Bi structure. The functional is PBE-GGA.

Unit cell a=11.598 b=11.598 c=11.598 alpha=16.93 beta=16.93 gamma=16.93
Element x y z (fractional)
Pr: 0.000 0.000 0.000
Sc: 0.094 0.094 0.094
Sc: 0.906 0.906 0.906
Bi: 0.500 0.500 0.500

Results
Magnetic moment = 0.8 μB per formula unit
DFT total energy = -5.222 eV per atom
Energy relative to the lowest polymorph listed for this composition = 1.717 eV/f.u.
Formation energy from the elements = 109 meV/atom

No. 3
This record from the Alexandria database describes a geometry-optimized Pr5ScBi4 structure. The functional is PBE-GGA.

Unit cell a=9.983 b=9.983 c=8.699 alpha=105.07 beta=105.07 gamma=25.85
Element x y z (fractional)
Pr: 0.000 0.000 0.000
Pr: 0.324 0.324 0.147
Pr: 0.333 0.333 0.684
Pr: 0.667 0.667 0.316
Pr: 0.676 0.676 0.853
Sc: 0.000 0.000 0.500
Bi: 0.162 0.162 0.580
Bi: 0.495 0.495 0.262
Bi: 0.505 0.505 0.738
Bi: 0.838 0.838 0.420

Results
Magnetic moment = 0.0 μB per formula unit
DFT total energy = -5.105 eV per atom
Formation energy from the elements = -530 meV/atom

No. 4
This record from the Alexandria database describes a geometry-optimized PrScBi2 structure. The functional is PBE-GGA.

Unit cell a=7.689 b=7.689 c=7.689 alpha=33.78 beta=33.78 gamma=33.78
Element x y z (fractional)
Pr: 0.000 0.000 0.000
Sc: 0.500 0.500 0.500
Bi: 0.242 0.242 0.242
Bi: 0.758 0.758 0.758

Results
Magnetic moment = 0.0 μB per formula unit
DFT total energy = -5.514 eV per atom
Energy relative to the lowest polymorph listed for this composition = 0.000 eV/f.u.
Formation energy from the elements = -796 meV/atom

No. 5
This record from the Alexandria database describes a geometry-optimized Pr3Sc2Bi4 structure. The functional is PBE-GGA.

Unit cell a=7.822 b=7.822 c=10.040 alpha=122.16 beta=122.16 gamma=33.92
Element x y z (fractional)
Pr: 0.000 0.000 0.000
Pr: 0.362 0.362 0.286
Pr: 0.638 0.638 0.714
Sc: 0.315 0.315 0.632
Sc: 0.685 0.685 0.368
Bi: 0.067 0.067 0.395
Bi: 0.323 0.323 0.927
Bi: 0.677 0.677 0.073
Bi: 0.933 0.933 0.605

Results
Magnetic moment = 1.5 μB per formula unit
DFT total energy = -5.435 eV per atom
Formation energy from the elements = -710 meV/atom

No. 6
This record from the Alexandria database describes a geometry-optimized PrSm2ScBi5 structure. The functional is PBE-GGA.

Unit cell a=5.708 b=5.708 c=11.427 alpha=90.00 beta=90.00 gamma=90.00
Element x y z (fractional)
Pr: 0.000 0.000 0.000
Sm: 0.500 0.500 0.199
Sm: 0.500 0.500 0.801
Sc: 0.000 0.000 0.500
Bi: 0.000 0.000 0.263
Bi: 0.000 0.000 0.737
Bi: 0.000 0.500 0.000
Bi: 0.500 0.000 0.000
Bi: 0.500 0.500 0.500

Results
Magnetic moment = 0.0 μB per formula unit
DFT total energy = -4.343 eV per atom
Formation energy from the elements = 96 meV/atom

No. 7
This record from the Alexandria database describes a geometry-optimized PrSm2ScBi4 structure. The functional is PBE-GGA.

Unit cell a=7.814 b=4.520 c=7.823 alpha=90.00 beta=109.50 gamma=90.00
Element x y z (fractional)
Pr: 0.000 0.000 0.000
Sm: 0.000 0.500 0.500
Sm: 0.500 0.000 0.500
Sc: 0.500 0.500 0.000
Bi: 0.260 0.500 0.247
Bi: 0.265 0.000 0.761
Bi: 0.735 0.000 0.239
Bi: 0.740 0.500 0.753

Results
Magnetic moment = 0.0 μB per formula unit
DFT total energy = -5.350 eV per atom
Formation energy from the elements = -841 meV/atom

No. 8
This record from the Alexandria database describes a geometry-optimized Tb2PrScBi5 structure. The functional is PBE-GGA.

Unit cell a=5.704 b=5.704 c=11.384 alpha=90.00 beta=90.00 gamma=90.00
Element x y z (fractional)
Tb: 0.000 0.000 0.197
Tb: 0.000 0.000 0.803
Pr: 0.500 0.500 0.000
Sc: 0.500 0.500 0.500
Bi: 0.000 0.000 0.500
Bi: 0.000 0.500 0.000
Bi: 0.500 0.000 0.000
Bi: 0.500 0.500 0.263
Bi: 0.500 0.500 0.737

Results
Magnetic moment = 0.0 μB per formula unit
DFT total energy = -4.244 eV per atom
Formation energy from the elements = 175 meV/atom